(1)
# SrBeBr2 (PBE-GGA, optimized geometry)
data_SrBeBr2
_space_group_name_H-M_alt 'P 1 m 1'
_space_group_IT_number 6
_cell_length_a 4.916
_cell_length_b 4.035
_cell_length_c 5.974
_cell_angle_alpha 90.00
_cell_angle_beta 111.84
_cell_angle_gamma 90.00
loop_
_space_group_symop_operation_xyz
'x,y,z'
'x,-y,z'
loop_
_atom_site_label
_atom_site_type_symbol
_atom_site_fract_x
_atom_site_fract_y
_atom_site_fract_z
_atom_site_occupancy
Sr1 Sr 0.000 0.000 0.000 1
Be1 Be 0.645 0.500 0.610 1
Br1 Br 0.314 0.000 0.591 1
Br2 Br 0.576 0.500 0.209 1
# Final energy: -3.010 eV per atom
# ΔE_f (raw): -0.821 eV/atom
# Energy above the lowest structure with this stoichiometry: 0.00 eV/f.u.

=====

(2)
# Na2TlAgF4 (PBE-GGA, optimized geometry)
data_Na2TlAgF4
_space_group_name_H-M_alt 'C m c m'
_space_group_IT_number 63
_space_group_name_Hall '-C 2c 2'
_cell_length_a 3.507
_cell_length_b 12.344
_cell_length_c 13.121
_cell_angle_alpha 90.00
_cell_angle_beta 90.00
_cell_angle_gamma 90.00
loop_
_atom_site_label
_atom_site_type_symbol
_atom_site_fract_x
_atom_site_fract_y
_atom_site_fract_z
_atom_site_occupancy
Na1 Na 0.000 0.129 0.035 1
Tl1 Tl 0.000 0.440 0.250 1
Ag1 Ag 0.000 0.260 0.750 1
F1 F 0.000 0.080 0.250 1
F2 F 0.000 0.259 0.589 1
F3 F 0.000 0.500 0.000 1
# Final energy: -3.909 eV per atom
# DOS at the Fermi energy: 0.000 states/eV/atom
# ΔE_f (raw): -1.992 eV/atom

=====

(3)
# Sr2InBr (PBE-GGA, optimized geometry)
data_Sr2InBr
_space_group_name_H-M_alt 'F m -3 m'
_space_group_IT_number 225
_space_group_name_Hall '-F 4 2 3'
_cell_length_a 8.283
_cell_length_b 8.283
_cell_length_c 8.283
_cell_angle_alpha 90.00
_cell_angle_beta 90.00
_cell_angle_gamma 90.00
loop_
_atom_site_label
_atom_site_type_symbol
_atom_site_fract_x
_atom_site_fract_y
_atom_site_fract_z
_atom_site_occupancy
Sr1 Sr 0.250 0.250 0.250 1
In1 In 0.000 0.000 0.000 1
Br1 Br 0.000 0.000 0.500 1
# Final energy: -2.644 eV per atom
# DOS at the Fermi energy: 1.120 states/eV/atom
# ΔE_f (raw): -0.700 eV/atom
# Energy above the lowest structure with this stoichiometry: 1.09 eV/f.u.

=====

(4)
# LiHf3Ta2N6 (PBE-GGA, optimized geometry)
data_LiHf3Ta2N6
_space_group_name_H-M_alt 'C 1 2/m 1'
_space_group_IT_number 12
_cell_length_a 13.614
_cell_length_b 3.169
_cell_length_c 6.279
_cell_angle_alpha 90.00
_cell_angle_beta 102.57
_cell_angle_gamma 90.00
loop_
_space_group_symop_operation_xyz
'x,y,z'
'-x,-y,-z'
'-x,y,-z'
'x,-y,z'
'x+1/2,y+1/2,z'
'-x+1/2,-y+1/2,-z'
'-x+1/2,y+1/2,-z'
'x+1/2,-y+1/2,z'
loop_
_atom_site_label
_atom_site_type_symbol
_atom_site_fract_x
_atom_site_fract_y
_atom_site_fract_z
_atom_site_occupancy
Li1 Li 0.000 0.000 0.000 1
Hf1 Hf 0.000 0.000 0.500 1
Hf2 Hf 0.157 0.500 0.842 1
Ta1 Ta 0.168 0.500 0.344 1
N1 N 0.005 0.500 0.255 1
N2 N 0.164 0.000 0.594 1
N3 N 0.169 0.000 0.091 1
# Final energy: -10.215 eV per atom
# DOS at the Fermi energy: 0.131 states/eV/atom
# ΔE_f (raw): -1.429 eV/atom